MnSb2Os PBEsol relaxed; total energy = -29.241 eV per cell; polymorph energy (0 for the lowest one) = 219 meV per atom; formation energy from raw total energies = 463 meV/atom
1.0
4.516 0.000 0.000
2.258 3.911 0.000
2.258 1.304 3.687
Os Sb Mn
1 2 1
Direct
0.000 0.000 0.000
0.250 0.250 0.250
0.750 0.750 0.750
0.500 0.500 0.500